No. 1
# Li2B7Ir12

Li2B7Ir12 after structural relaxation (PBE, Alexandria via LeMat-Bulk).

extended XYZ file:
```
21
Lattice="8.799 0.000 0.000 -4.400 7.620 0.000 0.000 0.000 3.854" Properties=species:S:1:pos:R:3 pbc="T T T"
Li 0.000 0.000 0.000
Li 0.000 5.080 1.927
B -1.444 3.385 0.000
B 1.156 1.856 1.927
B -0.746 7.179 0.000
B 2.191 4.677 0.000
B 4.400 2.540 1.927
B 6.614 0.073 1.927
B 5.429 5.691 1.927
Ir -0.895 1.763 1.927
Ir -2.064 5.533 0.000
Ir -2.426 7.514 1.927
Ir 0.640 3.066 0.000
Ir 3.004 1.616 0.000
Ir 2.524 3.488 1.927
Ir 4.516 0.442 1.927
Ir 1.424 6.641 0.000
Ir 4.297 4.211 0.000
Ir 3.320 5.964 1.927
Ir 5.898 1.793 0.000
Ir 6.158 3.690 1.927
```

Values from the calculation:
calculated volume: 12.3 Å³/atom
crystal system: hexagonal
raw total energy: -7.63 eV per atom

---

No. 2
# LiBIr3

LiBIr3 after structural relaxation (PBE, Alexandria via LeMat-Bulk).

extended XYZ file:
```
10
Lattice="2.780 1.605 5.010 -2.780 1.605 5.010 0.000 -3.210 5.010" Properties=species:S:1:pos:R:3 pbc="T T T"
Li 0.000 0.000 1.358
Li 0.000 0.000 13.672
B 0.000 0.000 4.966
B 0.000 0.000 10.063
Ir -1.374 -0.793 6.416
Ir 0.000 -1.586 8.614
Ir -1.374 0.793 8.614
Ir 1.374 -0.793 6.416
Ir 0.000 1.586 6.416
Ir 1.374 0.793 8.614
```

Values from the calculation:
calculated volume: 13.4 Å³/atom
crystal system: trigonal
raw total energy: -7.25 eV per atom
energy above the most stable polymorph in this dataset: 0.0 meV/atom